Entry from Alexandria via LeMat-Bulk: a geometry-optimized NdZn5Ag7 structure (PBE-GGA).

Lattice parameters (Å, degrees): 5.2631 7.1394 7.1394 81.94 68.37 68.37
Fractional positions:
Ag1 0.5037 0.2063 0.7863
Ag2 0.2795 0.2205 0.2205
Ag3 0.9992 0.6528 0.3488
Ag4 0.5037 0.7863 0.2063
Ag5 0.3420 0.6580 0.6580
Ag6 0.9992 0.3488 0.6528
Ag7 0.6476 0.3524 0.3524
Nd1 0.9976 0.0024 0.0024
Zn1 0.7205 0.7795 0.7795
Zn2 0.0015 0.9963 0.5001
Zn3 0.5021 0.5001 0.9963
Zn4 0.5021 0.9963 0.5001
Zn5 0.0015 0.5001 0.9963

Values from the calculation:
DFT formation energy, eV/atom: -0.151

***

Entry from Alexandria via LeMat-Bulk: a geometry-optimized FeAsI3 structure (PBE-GGA).

Lattice parameters (Å, degrees): 5.7288 5.7288 5.7288 90.00 90.00 90.00
Last column: magnetic moment on the atom in μB.
Fractional positions:
I1 0.0000 0.0000 0.5000  0.03
I2 0.0000 0.5000 0.0000  0.04
I3 0.5000 0.0000 0.0000  0.05
As1 0.0000 0.0000 0.0000  -0.04
Fe1 0.5000 0.5000 0.5000  3.66

Values from the calculation:
E above lowest polymorph, meV/atom: 59.1

***

Entry from Alexandria via LeMat-Bulk: a geometry-optimized CrHgW2 structure (PBE-GGA).

Lattice parameters (Å, degrees): 9.1796 9.1796 9.1796 18.21 18.21 18.21
Fractional positions:
Cr1 0.2500 0.2500 0.2500
W1 0.9893 0.9893 0.9893
W2 0.5107 0.5107 0.5107
Hg1 0.7500 0.7500 0.7500

Values from the calculation:
DFT formation energy, eV/atom: 0.633

***

Entry from Alexandria via LeMat-Bulk: a geometry-optimized AcMg2Bi structure (PBE-GGA).

Lattice parameters (Å, degrees): 5.0944 5.0944 6.4525 66.75 66.75 60.00
Fractional positions:
Mg1 0.7809 0.7809 0.6572
Mg2 0.2191 0.2191 0.3428
Ac1 0.0000 0.0000 0.0000
Bi1 0.5000 0.5000 0.5000

Values from the calculation:
DFT formation energy, eV/atom: -0.127

***

Entry from Alexandria via LeMat-Bulk: a geometry-optimized CeDyTePb structure (PBE-GGA).

Lattice parameters (Å, degrees): 5.4509 5.4509 5.4509 60.00 60.00 60.00
Last column: magnetic moment on the atom in μB.
Fractional positions:
Ce1 0.7500 0.7500 0.7500  0.70
Dy1 0.2500 0.2500 0.2500  0.16
Te1 0.5000 0.5000 0.5000  -0.04
Pb1 0.0000 0.0000 0.0000  -0.05

Values from the calculation:
E above lowest polymorph, meV/atom: 183.2

***

Entry from Alexandria via LeMat-Bulk: a geometry-optimized Co3HgW structure (PBE-GGA).

Lattice parameters (Å, degrees): 4.5767 4.5767 4.5767 90.00 90.00 90.00
Last column: magnetic moment on the atom in μB.
Fractional positions:
W1 0.5000 0.5000 0.5000  0.49
Co1 0.0000 0.0000 0.5000  1.99
Co2 0.0000 0.5000 0.0000  1.68
Co3 0.5000 0.0000 0.0000  1.55
Hg1 0.0000 0.0000 0.0000  -0.03

Values from the calculation:
E above lowest polymorph, meV/atom: 912.8
DFT formation energy, eV/atom: 2.320

***

Number 1: E -2.543 eV per atom, volume 17.83 A^3/atom. Number 2: E -2.803 eV per atom, volume 37.60 A^3/atom. Number 3: E -8.325 eV per atom, volume 16.49 A^3/atom. Number 4: E -2.921 eV per atom, volume 32.27 A^3/atom. Number 5: E -5.059 eV per atom, volume 28.63 A^3/atom. Number 6: E -4.594 eV per atom, volume 19.17 A^3/atom.